VASP calculation (GGA-PBEsol) on a relaxed structure of CrIr2W.

It has space group Pmmm (No. 47), with a = 2.705 Å, b = 3.777 Å, c = 5.398 Å, α = 90.00°, β = 90.00° and γ = 90.00°. The distinct sites, in fractional coordinates, are Cr at (0.000, 0.000, 0.000), Ir at (0.500, 0.500, 0.241) and W at (0.000, 0.000, 0.500).

Its formation energy is -0.2210 eV per atom. The calculation puts the density of states at the Fermi level at 0.70 states/eV per atom. The calculation puts the total energy at -11.145 eV/atom. The spin magnetization comes out at 0.000 μB per atom.